## LaDy6Y3Tm2 (PBE-GGA)

Data for LaDy6Y3Tm2 after structural relaxation.

* formation energy from the elements: 0.29 eV/f.u.
* crystal system: monoclinic

a = 6.162 Å, b = 10.666 Å, c = 11.810 Å
α = 90.00°, β = 99.97°, γ = 90.00°
Space group C2/m (No. 12)
Asymmetric unit:
La1 0.000 0.000 0.000 x2
Dy1 0.248 0.333 0.749 x8
Dy2 0.249 0.500 0.251 x4
Y1 0.000 0.167 0.500 x4
Y2 0.000 0.500 0.500 x2
Tm1 0.000 0.333 0.000 x4